(1)
# CsPbOF2

Crystalline CsPbOF2 at its relaxed geometry (PBE, Alexandria).

Summary:
relative energy among the computed polymorphs	1.132	eV per atom
SG	P4/mmm, No. 123
ρ	5.3	g/cm3
formation energy (no corrections)	-0.857	eV per atom

a = 5.1330 Å, b = 5.1330 Å, c = 4.6482 Å
α = 90.00°, β = 90.00°, γ = 90.00°
Last column: nearest neighbours and their distance in Å.
Positions (direct):
Cs  0.0000  0.0000  0.0000  2 O 2.32, 4 F 2.57
Pb  0.5000  0.5000  0.5000  8 F 3.46, 4 O 3.63
O  0.0000  0.0000  0.5000  2 Cs 2.32
F  0.0000  0.5000  0.0000  2 Cs 2.57
F  0.5000  0.0000  0.0000  2 Cs 2.57



(2)
# CsPbOF2

Crystalline CsPbOF2 at its relaxed geometry (PBE, Alexandria).

Summary:
relative energy among the computed polymorphs	0.000	eV per atom
SG	P4/mmm, No. 123
ρ	6.4	g/cm3
formation energy (no corrections)	-1.988	eV per atom

a = 4.8820 Å, b = 4.8820 Å, c = 4.3113 Å
α = 90.00°, β = 90.00°, γ = 90.00°
Last column: nearest neighbours and their distance in Å.
Positions (direct):
Cs  0.0000  0.0000  0.0000  8 F 3.26, 4 O 3.45
Pb  0.5000  0.5000  0.5000  2 O 2.16
O  0.5000  0.5000  0.0000  2 Pb 2.16
F  0.0000  0.5000  0.5000  2 Pb 2.44
F  0.5000  0.0000  0.5000  2 Pb 2.44



(3)
# CsPbOF

Crystalline CsPbOF at its relaxed geometry (PBE, Alexandria).

Summary:
SG	Pmmm, No. 47
ρ	6.4	g/cm3
formation energy (no corrections)	-1.561	eV per atom

a = 4.1555 Å, b = 4.5698 Å, c = 5.1609 Å
α = 90.00°, β = 90.00°, γ = 90.00°
Last column: nearest neighbours and their distance in Å.
Positions (direct):
Cs  0.0000  0.0000  0.0000  4 F 3.09, 4 O 3.31
Pb  0.5000  0.5000  0.5000  2 O 2.28
O  0.5000  0.0000  0.5000  2 Pb 2.28
F  0.5000  0.5000  0.0000  2 Pb 2.58